[1]
Compound: Zr3SnSe
Source: Alexandria via LeMat-Bulk
Functional: PBE
Structure: optimized geometry

Computed properties:
Raw formation energy in eV per atom: -0.45
M_tot in μB per formula unit: 0.00
Final energy in eV/atom: -7.072
Polymorph energy (0 for the lowest one) in meV per atom: 0

Lattice parameters (Å, degrees): 7.924 7.924 7.126 96.56 96.56 34.09
Element x y z (fractional)
Zr  0.023  0.023  0.226
Zr  0.181  0.181  0.947
Zr  0.263  0.263  0.355
Zr  0.737  0.737  0.645
Zr  0.819  0.819  0.053
Zr  0.977  0.977  0.774
Sn  0.369  0.369  0.833
Sn  0.631  0.631  0.167
Se  0.126  0.126  0.575
Se  0.874  0.874  0.425

=====

[2]
Compound: Zr3SnSe
Source: Alexandria via LeMat-Bulk
Functional: PBE
Structure: optimized geometry

Computed properties:
Raw formation energy in eV per atom: -0.15
M_tot in μB per formula unit: 0.00
Final energy in eV/atom: -6.780
Polymorph energy (0 for the lowest one) in meV per atom: 292

Lattice parameters (Å, degrees): 4.992 4.992 4.992 90.00 90.00 90.00
Element x y z (fractional)
Zr  0.000  0.000  0.500
Zr  0.000  0.500  0.000
Zr  0.500  0.000  0.000
Sn  0.500  0.500  0.500
Se  0.000  0.000  0.000

=====

[3]
Compound: ZrSnSe3
Source: Alexandria via LeMat-Bulk
Functional: PBE
Structure: optimized geometry

Computed properties:
Raw formation energy in eV per atom: -0.56
M_tot in μB per formula unit: 0.00
Final energy in eV/atom: -5.165

Lattice parameters (Å, degrees): 5.229 5.229 5.229 90.00 90.00 90.00
Element x y z (fractional)
Zr  0.000  0.000  0.000
Sn  0.500  0.500  0.500
Se  0.000  0.000  0.500
Se  0.000  0.500  0.000
Se  0.500  0.000  0.000

=====

[4]
Compound: ZrSnSe2
Source: Alexandria via LeMat-Bulk
Functional: PBE
Structure: optimized geometry

Computed properties:
Raw formation energy in eV per atom: -0.39
M_tot in μB per formula unit: 0.16
Final energy in eV/atom: -5.271

Lattice parameters (Å, degrees): 6.879 6.879 10.929 90.00 90.00 90.00
Element x y z (fractional)
Zr  0.000  0.000  0.000
Zr  0.000  0.500  0.250
Zr  0.500  0.000  0.750
Zr  0.500  0.500  0.500
Sn  0.000  0.000  0.500
Sn  0.000  0.500  0.750
Sn  0.500  0.000  0.250
Sn  0.500  0.500  0.000
Se  0.203  0.250  0.125
Se  0.250  0.703  0.375
Se  0.250  0.797  0.875
Se  0.297  0.250  0.625
Se  0.703  0.750  0.625
Se  0.750  0.203  0.875
Se  0.750  0.297  0.375
Se  0.797  0.750  0.125

=====

[5]
Compound: Sr3Se4
Source: Alexandria via LeMat-Bulk
Functional: PBE
Structure: optimized geometry

Computed properties:
Raw formation energy in eV per atom: -1.62
M_tot in μB per formula unit: 0.00
Final energy in eV/atom: -4.329
Polymorph energy (0 for the lowest one) in meV per atom: 0

Lattice parameters (Å, degrees): 4.339 4.339 24.262 90.00 90.00 90.00
Element x y z (fractional)
Sr  0.000  0.000  0.000
Sr  0.000  0.000  0.312
Sr  0.000  0.000  0.688
Sr  0.500  0.500  0.188
Sr  0.500  0.500  0.500
Sr  0.500  0.500  0.812
Se  0.000  0.000  0.183
Se  0.000  0.000  0.450
Se  0.000  0.000  0.550
Se  0.000  0.000  0.817
Se  0.500  0.500  0.050
Se  0.500  0.500  0.317
Se  0.500  0.500  0.683
Se  0.500  0.500  0.950

=====

[6]
Compound: Sr5Se
Source: Alexandria via LeMat-Bulk
Functional: PBE
Structure: optimized geometry

Computed properties:
Raw formation energy in eV per atom: -0.56
M_tot in μB per formula unit: 0.00
Final energy in eV/atom: -2.543
Polymorph energy (0 for the lowest one) in meV per atom: 0

Lattice parameters (Å, degrees): 14.019 4.130 10.308 90.00 105.88 90.00
Element x y z (fractional)
Sr  0.000  0.000  0.000
Sr  0.084  0.000  0.412
Sr  0.196  0.500  0.803
Sr  0.303  0.000  0.194
Sr  0.396  0.000  0.623
Sr  0.500  0.500  0.000
Sr  0.584  0.500  0.412
Sr  0.696  0.000  0.803
Sr  0.803  0.500  0.194
Sr  0.896  0.500  0.623
Se  0.135  0.500  0.201
Se  0.635  0.000  0.201

=====

[7]
Compound: SrSe
Source: Alexandria via LeMat-Bulk
Functional: PBE
Structure: optimized geometry

Computed properties:
Raw formation energy in eV per atom: -1.72
M_tot in μB per formula unit: 0.00
Final energy in eV/atom: -4.308

Lattice parameters (Å, degrees): 5.190 5.190 24.186 90.00 90.00 120.00
Element x y z (fractional)
Sr  0.000  0.000  0.227
Sr  0.000  0.000  0.773
Sr  0.333  0.667  0.440
Sr  0.333  0.667  0.894
Sr  0.667  0.333  0.106
Sr  0.667  0.333  0.560
Se  0.000  0.000  0.100
Se  0.000  0.000  0.900
Se  0.333  0.667  0.567
Se  0.333  0.667  0.766
Se  0.667  0.333  0.234
Se  0.667  0.333  0.433

=====

[8]
Compound: SrSe2
Source: Alexandria via LeMat-Bulk
Functional: PBE
Structure: optimized geometry

Computed properties:
Raw formation energy in eV per atom: -1.23
M_tot in μB per formula unit: 0.00
Final energy in eV/atom: -4.114

Lattice parameters (Å, degrees): 10.123 4.794 8.352 90.00 103.32 90.00
Element x y z (fractional)
Sr  0.000  0.000  0.000
Sr  0.198  0.500  0.591
Sr  0.500  0.500  0.000
Sr  0.698  0.000  0.591
Se  0.018  0.000  0.622
Se  0.147  0.500  0.209
Se  0.264  0.000  0.885
Se  0.404  0.000  0.188
Se  0.518  0.500  0.622
Se  0.647  0.000  0.209
Se  0.764  0.500  0.885
Se  0.904  0.500  0.188

=====

[9]
Compound: SrSe2
Source: Alexandria via LeMat-Bulk
Functional: PBE
Structure: optimized geometry

Computed properties:
Raw formation energy in eV per atom: -1.28
M_tot in μB per formula unit: 0.00
Final energy in eV/atom: -4.161

Lattice parameters (Å, degrees): 5.993 5.924 5.369 90.00 109.29 90.00
Element x y z (fractional)
Sr  0.000  0.000  0.000
Sr  0.500  0.500  0.000
Se  0.063  0.500  0.246
Se  0.437  0.000  0.754
Se  0.563  0.000  0.246
Se  0.937  0.500  0.754

=====

[10]
Compound: SrSe
Source: Alexandria via LeMat-Bulk
Functional: PBE
Structure: optimized geometry

Computed properties:
Raw formation energy in eV per atom: -0.84
M_tot in μB per formula unit: 0.00
Final energy in eV/atom: -3.420

Lattice parameters (Å, degrees): 4.970 4.970 22.272 90.00 90.00 120.00
Element x y z (fractional)
Sr  0.000  0.000  0.075
Sr  0.000  0.000  0.925
Sr  0.333  0.667  0.591
Sr  0.333  0.667  0.742
Sr  0.667  0.333  0.258
Sr  0.667  0.333  0.409
Se  0.000  0.000  0.333
Se  0.000  0.000  0.667
Se  0.333  0.667  0.000
Se  0.333  0.667  0.333
Se  0.667  0.333  0.000
Se  0.667  0.333  0.667

=====

[11]
Compound: SrSe2
Source: Alexandria via LeMat-Bulk
Functional: PBE
Structure: optimized geometry

Computed properties:
Raw formation energy in eV per atom: -1.26
M_tot in μB per formula unit: 0.00
Final energy in eV/atom: -4.144

Lattice parameters (Å, degrees): 5.689 7.463 4.827 90.00 90.00 90.00
Element x y z (fractional)
Sr  0.000  0.000  0.000
Sr  0.500  0.500  0.500
Se  0.167  0.401  0.000
Se  0.333  0.901  0.500
Se  0.667  0.099  0.500
Se  0.833  0.599  0.000

=====

[12]
Compound: SrSe
Source: Alexandria via LeMat-Bulk
Functional: PBE
Structure: optimized geometry

Computed properties:
Raw formation energy in eV per atom: -1.74
M_tot in μB per formula unit: 0.00
Final energy in eV/atom: -4.323

Lattice parameters (Å, degrees): 9.497 9.497 9.497 90.00 90.00 90.00
Element x y z (fractional)
Sr  0.156  0.156  0.844
Sr  0.156  0.844  0.156
Sr  0.344  0.344  0.344
Sr  0.344  0.656  0.656
Sr  0.656  0.344  0.656
Sr  0.656  0.656  0.344
Sr  0.844  0.156  0.156
Sr  0.844  0.844  0.844
Se  0.163  0.163  0.163
Se  0.163  0.837  0.837
Se  0.337  0.337  0.663
Se  0.337  0.663  0.337
Se  0.663  0.337  0.337
Se  0.663  0.663  0.663
Se  0.837  0.163  0.837
Se  0.837  0.837  0.163

=====

[13]
Compound: SrSe
Source: Alexandria via LeMat-Bulk
Functional: PBE
Structure: optimized geometry

Computed properties:
Raw formation energy in eV per atom: -0.90
M_tot in μB per formula unit: 0.00
Final energy in eV/atom: -3.479

Lattice parameters (Å, degrees): 7.637 7.637 7.637 90.00 90.00 90.00
Element x y z (fractional)
Sr  0.125  0.125  0.125
Sr  0.125  0.625  0.625
Sr  0.375  0.375  0.875
Sr  0.375  0.875  0.375
Sr  0.625  0.125  0.625
Sr  0.625  0.625  0.125
Sr  0.875  0.375  0.375
Sr  0.875  0.875  0.875
Se  0.125  0.125  0.625
Se  0.125  0.625  0.125
Se  0.375  0.375  0.375
Se  0.375  0.875  0.875
Se  0.625  0.125  0.125
Se  0.625  0.625  0.625
Se  0.875  0.375  0.875
Se  0.875  0.875  0.375

=====

[14]
Compound: SrSe2
Source: Alexandria via LeMat-Bulk
Functional: PBE
Structure: optimized geometry

Computed properties:
Raw formation energy in eV per atom: -0.87
M_tot in μB per formula unit: 0.54
Final energy in eV/atom: -3.753

Lattice parameters (Å, degrees): 7.253 7.253 7.253 90.00 90.00 90.00
Element x y z (fractional)
Sr  0.000  0.000  0.000
Sr  0.000  0.500  0.500
Sr  0.500  0.000  0.500
Sr  0.500  0.500  0.000
Se  0.250  0.250  0.250
Se  0.250  0.250  0.750
Se  0.250  0.750  0.250
Se  0.250  0.750  0.750
Se  0.750  0.250  0.250
Se  0.750  0.250  0.750
Se  0.750  0.750  0.250
Se  0.750  0.750  0.750

=====

[15]
Compound: SrSe3
Source: Alexandria via LeMat-Bulk
Functional: PBE
Structure: optimized geometry

Computed properties:
Raw formation energy in eV per atom: -0.60
M_tot in μB per formula unit: 0.01
Final energy in eV/atom: -3.636

Lattice parameters (Å, degrees): 5.134 5.134 6.025 90.00 90.00 120.00
Element x y z (fractional)
Sr  0.000  0.000  0.000
Se  0.000  0.000  0.500
Se  0.333  0.667  0.200
Se  0.333  0.667  0.800

=====

[16]
Compound: SrSe3
Source: Alexandria via LeMat-Bulk
Functional: PBE
Structure: optimized geometry

Computed properties:
Raw formation energy in eV per atom: -0.78
M_tot in μB per formula unit: 0.00
Final energy in eV/atom: -3.815

Lattice parameters (Å, degrees): 10.989 4.357 4.422 90.00 90.97 90.00
Element x y z (fractional)
Sr  0.000  0.000  0.000
Sr  0.500  0.500  0.000
Se  0.000  0.500  0.500
Se  0.228  0.500  0.743
Se  0.272  0.000  0.257
Se  0.500  0.000  0.500
Se  0.728  0.000  0.743
Se  0.772  0.500  0.257

=====

[17]
Compound: SrSe3
Source: Alexandria via LeMat-Bulk
Functional: PBE
Structure: optimized geometry

Computed properties:
Raw formation energy in eV per atom: -0.64
M_tot in μB per formula unit: 0.00
Final energy in eV/atom: -3.675

Lattice parameters (Å, degrees): 4.335 4.335 6.015 90.00 90.00 90.00
Element x y z (fractional)
Sr  0.000  0.000  0.000
Se  0.000  0.000  0.500
Se  0.500  0.500  0.201
Se  0.500  0.500  0.799

=====

[18]
Compound: SrSe2
Source: Alexandria via LeMat-Bulk
Functional: PBE
Structure: optimized geometry

Computed properties:
Raw formation energy in eV per atom: -1.20
M_tot in μB per formula unit: 0.00
Final energy in eV/atom: -4.081

Lattice parameters (Å, degrees): 16.789 4.245 4.982 90.00 97.51 90.00
Element x y z (fractional)
Sr  0.118  0.000  0.185
Sr  0.382  0.500  0.815
Sr  0.618  0.500  0.185
Sr  0.882  0.000  0.815
Se  0.022  0.500  0.762
Se  0.246  0.000  0.747
Se  0.254  0.500  0.253
Se  0.478  0.000  0.238
Se  0.522  0.000  0.762
Se  0.746  0.500  0.747
Se  0.754  0.000  0.253
Se  0.978  0.500  0.238

=====

[19]
Compound: SrSe
Source: Alexandria via LeMat-Bulk
Functional: PBE
Structure: optimized geometry

Computed properties:
Raw formation energy in eV per atom: -1.43
M_tot in μB per formula unit: 0.00
Final energy in eV/atom: -4.014

Lattice parameters (Å, degrees): 5.056 5.056 33.398 90.00 90.00 120.00
Element x y z (fractional)
Sr  0.000  0.000  0.090
Sr  0.000  0.000  0.910
Sr  0.333  0.667  0.577
Sr  0.333  0.667  0.756
Sr  0.667  0.333  0.244
Sr  0.667  0.333  0.423
Se  0.000  0.000  0.423
Se  0.000  0.000  0.577
Se  0.333  0.667  0.089
Se  0.333  0.667  0.244
Se  0.667  0.333  0.756
Se  0.667  0.333  0.911

=====

[20]
Compound: SrSe3
Source: Alexandria via LeMat-Bulk
Functional: PBE
Structure: optimized geometry

Computed properties:
Raw formation energy in eV per atom: -0.77
M_tot in μB per formula unit: 0.00
Final energy in eV/atom: -3.803

Lattice parameters (Å, degrees): 4.646 6.181 8.421 90.00 90.00 90.00
Element x y z (fractional)
Sr  0.250  0.250  0.110
Sr  0.750  0.750  0.890
Se  0.250  0.567  0.616
Se  0.250  0.750  0.129
Se  0.250  0.933  0.616
Se  0.750  0.067  0.384
Se  0.750  0.250  0.871
Se  0.750  0.433  0.384

=====

[21]
Compound: SrSe
Source: Alexandria via LeMat-Bulk
Functional: PBE
Structure: optimized geometry

Computed properties:
Raw formation energy in eV per atom: -1.86
M_tot in μB per formula unit: 0.00
Final energy in eV/atom: -4.445

Lattice parameters (Å, degrees): 11.746 4.116 8.141 90.00 111.51 90.00
Element x y z (fractional)
Sr  0.000  0.000  0.000
Sr  0.151  0.000  0.662
Sr  0.318  0.000  0.303
Sr  0.500  0.500  0.000
Sr  0.651  0.500  0.662
Sr  0.818  0.500  0.303
Se  0.097  0.500  0.337
Se  0.243  0.500  0.997
Se  0.428  0.000  0.695
Se  0.597  0.000  0.337
Se  0.743  0.000  0.997
Se  0.928  0.500  0.695

=====

[22]
Compound: SrSe
Source: Alexandria via LeMat-Bulk
Functional: PBE
Structure: optimized geometry

Computed properties:
Raw formation energy in eV per atom: -1.80
M_tot in μB per formula unit: 0.00
Final energy in eV/atom: -4.381

Lattice parameters (Å, degrees): 5.398 5.412 3.822 90.00 90.00 90.00
Element x y z (fractional)
Sr  0.000  0.000  0.000
Sr  0.500  0.500  0.000
Se  0.000  0.500  0.500
Se  0.500  0.000  0.500

=====

[23]
Compound: SrSe
Source: Alexandria via LeMat-Bulk
Functional: PBE
Structure: optimized geometry

Computed properties:
Raw formation energy in eV per atom: -1.77
M_tot in μB per formula unit: 0.00
Final energy in eV/atom: -4.356

Lattice parameters (Å, degrees): 8.519 8.519 8.519 90.00 90.00 90.00
Element x y z (fractional)
Sr  0.000  0.250  0.500
Sr  0.000  0.750  0.500
Sr  0.250  0.500  0.000
Sr  0.500  0.000  0.250
Sr  0.500  0.000  0.750
Sr  0.750  0.500  0.000
Se  0.000  0.500  0.250
Se  0.000  0.500  0.750
Se  0.250  0.000  0.500
Se  0.500  0.250  0.000
Se  0.500  0.750  0.000
Se  0.750  0.000  0.500

=====

[24]
Compound: SrSe
Source: Alexandria via LeMat-Bulk
Functional: PBE
Structure: optimized geometry

Computed properties:
Raw formation energy in eV per atom: -1.98
M_tot in μB per formula unit: 0.00
Final energy in eV/atom: -4.566

Lattice parameters (Å, degrees): 4.368 4.368 22.874 90.00 90.00 120.00
Element x y z (fractional)
Sr  0.000  0.000  0.000
Sr  0.000  0.000  0.169
Sr  0.333  0.667  0.667
Sr  0.333  0.667  0.836
Sr  0.667  0.333  0.333
Sr  0.667  0.333  0.503
Se  0.000  0.000  0.584
Se  0.000  0.000  0.753
Se  0.333  0.667  0.250
Se  0.333  0.667  0.419
Se  0.667  0.333  0.086
Se  0.667  0.333  0.917

=====

[25]
Compound: SrSe3
Source: Alexandria via LeMat-Bulk
Functional: PBE
Structure: optimized geometry

Computed properties:
Raw formation energy in eV per atom: -0.83
M_tot in μB per formula unit: 0.00
Final energy in eV/atom: -3.866

Lattice parameters (Å, degrees): 4.239 6.125 4.239 90.00 90.00 90.00
Element x y z (fractional)
Sr  0.000  0.000  0.000
Se  0.000  0.500  0.002
Se  0.500  0.000  0.500
Se  0.500  0.500  0.501

=====

[26]
Compound: Sr6Se7
Source: Alexandria via LeMat-Bulk
Functional: PBE
Structure: optimized geometry

Computed properties:
Raw formation energy in eV per atom: -1.10
M_tot in μB per formula unit: 0.85
Final energy in eV/atom: -3.754

Lattice parameters (Å, degrees): 13.174 13.174 13.174 28.77 28.77 28.77
Element x y z (fractional)
Sr  0.063  0.063  0.063
Sr  0.208  0.208  0.208
Sr  0.333  0.333  0.333
Sr  0.667  0.667  0.667
Sr  0.792  0.792  0.792
Sr  0.937  0.937  0.937
Se  0.070  0.561  0.561
Se  0.439  0.439  0.930
Se  0.439  0.930  0.439
Se  0.500  0.500  0.500
Se  0.561  0.070  0.561
Se  0.561  0.561  0.070
Se  0.930  0.439  0.439